Record 1
Material: Pm4Er3Th
Method: DFT, PBE
State: optimized geometry

The value obtained for the theoretical density is 8.21 g/cm³. Its volume is 33.22 Å³ per atom. The calculation puts the energy above the lowest structure with this stoichiometry at 0.133 eV per atom. As for the calculated formation energy: 1.387 eV per formula unit. The space group is C2/m.

POSCAR file:
```
Pm4Er3Th
1.0
23.5618 0.0000 0.0000
0.0000 3.4564 0.0000
-1.9338 0.0000 6.5266
Pm Er Th
8 6 2
Cartesian
2.1682 0.0000 2.3707 Pm
5.2305 1.7282 1.5307 Pm
4.6167 0.0000 4.9959 Pm
7.6789 1.7282 4.1558 Pm
13.9491 1.7282 2.3707 Pm
17.0114 0.0000 1.5307 Pm
16.3976 1.7282 4.9959 Pm
19.4598 0.0000 4.1558 Pm
-0.9669 0.0000 3.2633 Er
1.1748 0.0000 5.7617 Er
8.6723 1.7282 0.7648 Er
10.8140 1.7282 3.2633 Er
12.9557 1.7282 5.7617 Er
20.4532 0.0000 0.7648 Er
0.0000 1.7282 0.0000 Th
11.7809 0.0000 0.0000 Th
```

Record 2
Material: Pm2ZnReO8
Method: DFT, PBE
State: optimized geometry

The uncorrected formation energy comes out at -2.1347 eV per atom. The value obtained for the theoretical density is 6.58 g/cm³. Its volume is 14.07 Å³ per atom. The space group is P-1.

POSCAR file:
```
Pm2ZnReO8
1.0
4.7247 0.0000 0.0000
-0.4751 4.7600 0.0000
-0.2953 -0.3914 7.5088
Pm Zn Re O
2 1 1 8
Cartesian
0.1792 0.1448 1.8478 Pm
3.7751 4.2238 5.6610 Pm
2.1248 2.3800 0.0000 Zn
1.9771 2.1843 3.7544 Re
0.7276 0.8305 4.0911 O
0.6325 0.6391 7.3363 O
0.8441 2.8360 2.3671 O
1.2166 3.2872 5.1090 O
2.7377 1.0814 2.3999 O
3.1101 1.5326 5.1417 O
3.3218 3.7295 0.1725 O
3.2267 3.5381 3.4177 O
```

Record 3
Material: Er2Si4Ni3Rh
Method: DFT, PBE
State: optimized geometry

The uncorrected formation energy comes out at -0.9091 eV per atom. The value obtained for the theoretical density is 8.00 g/cm³. Its volume is 15.06 Å³ per atom. The space group is P-4m2.

POSCAR file:
```
Er2Si4Ni3Rh
1.0
3.9411 0.0000 0.0000
0.0000 3.9411 0.0000
0.0000 0.0000 9.6944
Er Si Ni Rh
2 4 3 1
Cartesian
0.0000 1.9706 2.3443 Er
1.9706 0.0000 7.3502 Er
0.0000 0.0000 0.0000 Si
0.0000 1.9706 6.1962 Si
1.9706 0.0000 3.4982 Si
1.9706 1.9706 0.0000 Si
0.0000 1.9706 8.4850 Ni
1.9706 0.0000 1.2095 Ni
1.9706 1.9706 4.8472 Ni
0.0000 0.0000 4.8472 Rh
```

Record 4
Material: CsCaTeHAu
Method: DFT, PBE
State: optimized geometry

The value obtained for the theoretical density is 5.19 g/cm³. Its volume is 31.88 Å³ per atom. The calculation puts the energy above the lowest structure with this stoichiometry at 0.087 eV per atom. The space group is Pm.

POSCAR file:
```
CsCaTeHAu
1.0
4.5613 0.0000 0.0000
0.0000 4.5178 0.0000
-2.2679 0.0000 7.7364
Cs Ca Te H Au
1 1 1 1 1
Cartesian
0.0000 0.0000 0.0000 Cs
0.0110 2.2589 4.0074 Ca
2.2704 2.2589 1.9540 Te
-0.5893 0.0000 4.7325 H
2.3371 0.0000 4.0172 Au
```

What is the theoretical density in the third record? 8.00 g/cm³

Please write out number 3 again, unchanged.
Material: Er2Si4Ni3Rh
Method: DFT, PBE
State: optimized geometry

The uncorrected formation energy comes out at -0.9091 eV per atom. The value obtained for the theoretical density is 8.00 g/cm³. Its volume is 15.06 Å³ per atom. The space group is P-4m2.

POSCAR file:
```
Er2Si4Ni3Rh
1.0
3.9411 0.0000 0.0000
0.0000 3.9411 0.0000
0.0000 0.0000 9.6944
Er Si Ni Rh
2 4 3 1
Cartesian
0.0000 1.9706 2.3443 Er
1.9706 0.0000 7.3502 Er
0.0000 0.0000 0.0000 Si
0.0000 1.9706 6.1962 Si
1.9706 0.0000 3.4982 Si
1.9706 1.9706 0.0000 Si
0.0000 1.9706 8.4850 Ni
1.9706 0.0000 1.2095 Ni
1.9706 1.9706 4.8472 Ni
0.0000 0.0000 4.8472 Rh
```